Computed, not measured: crystalline CaTmPt2 at its relaxed geometry at the PBE-GGA level of DFT.

magnetic moment	0.000	μB per formula unit
ΔE to the lowest computed polymorph	54	meV per atom
ΔH_f (0 K)	-1088	meV/atom
DOS(E_F)	7.49	states/eV/cell

a = 6.911 Å, b = 6.911 Å, c = 6.911 Å
α = 90.00°, β = 90.00°, γ = 90.00°
Space group Fm-3m (No. 225)
Unique sites:
Ca (0.000, 0.000, 0.000)
Tm (0.000, 0.000, 0.500)
Pt (0.250, 0.250, 0.250)